The following is a DFT calculation (PBE-GGA) of a geometry-optimized ScAlPd2 structure.

Results
* total energy: -5.977 eV per atom
* density of states at the Fermi level: 2.31 states/eV per cell
* space-group type: P4/mmm (123)

Lattice parameters (Å, degrees): 3.294 4.454 4.454 90.00 90.00 90.00
Fractional coordinates of all 4 atoms:
Sc 0.500 0.000 0.000
Pd 0.000 0.000 0.500
Pd 0.000 0.500 0.000
Al 0.500 0.500 0.500

---

The following is a DFT calculation (PBE-GGA) of a geometry-optimized Sc3AlPd4 structure.

Results
* total energy: -6.335 eV per atom
* density of states at the Fermi level: 3.78 states/eV per cell
* space-group type: I4/mmm (139)

Lattice parameters (Å, degrees): 4.585 4.585 7.321 108.29 108.25 90.00
Fractional coordinates of all 8 atoms:
Pd 0.621 0.621 0.242
Pd 0.121 0.121 0.242
Pd 0.379 0.379 0.758
Pd 0.879 0.879 0.758
Sc 0.000 0.500 0.000
Sc 0.255 0.755 0.511
Sc 0.745 0.245 0.489
Al 0.500 0.000 0.000

---

The following is a DFT calculation (PBE-GGA) of a geometry-optimized Sc4AlPd7 structure.

Results
* total energy: -6.145 eV per atom
* density of states at the Fermi level: 6.32 states/eV per cell
* space-group type: C2/m (12)

Lattice parameters (Å, degrees): 4.857 8.990 5.791 78.29 65.20 74.33
Fractional coordinates of all 12 atoms:
Sc 0.221 0.352 0.206
Sc 0.411 0.780 0.398
Sc 0.779 0.648 0.794
Sc 0.589 0.220 0.602
Pd 0.205 0.084 0.505
Pd 0.500 0.000 0.000
Pd 0.795 0.916 0.495
Pd 0.367 0.519 0.748
Pd 0.080 0.700 0.140
Pd 0.920 0.300 0.860
Pd 0.633 0.481 0.252
Al 0.000 0.000 0.000

---

The following is a DFT calculation (PBE-GGA) of a geometry-optimized Sc3Al2Pd4 structure.

Results
* total energy: -6.093 eV per atom
* density of states at the Fermi level: 4.24 states/eV per cell
* space-group type: P-3m1 (164)

Lattice parameters (Å, degrees): 4.529 4.530 8.578 90.03 90.01 60.01
Fractional coordinates of all 9 atoms:
Pd 0.333 0.334 0.100
Pd 0.667 0.666 0.900
Pd 0.000 0.000 0.672
Pd 0.000 0.000 0.328
Sc 0.667 0.667 0.583
Sc 0.000 0.000 0.000
Sc 0.333 0.333 0.417
Al 0.667 0.667 0.216
Al 0.333 0.333 0.784

---

no.,magnetic moment (μB per formula unit)
1,0.0
2,0.0
3,0.0
4,0.0